(1)
Material: Ti3FeB
Method: DFT, PBE-GGA
State: optimized geometry

abc: 4.1933 4.1933 4.1933
angles: 90.00 90.00 90.00
Closest atoms and distances in Å follow each position.
Fractional coordinates of all 5 atoms:
Ti 0.0000 0.0000 0.5000  2 B 2.10
Ti 0.0000 0.5000 0.0000  2 B 2.10
Ti 0.5000 0.0000 0.0000  2 B 2.10
Fe 0.5000 0.5000 0.5000  12 Ti 2.97
B 0.0000 0.0000 0.0000  6 Ti 2.10

## Properties
As for the formation energy: 133.8 meV/atom. For the energy above the most stable polymorph in this dataset, the calculation gives 0.000 eV per atom. As for the space-group type: Pm-3m, No. 221.



(2)
Material: Sr2Ru2Se
Method: DFT, PBE-GGA
State: optimized geometry

abc: 9.0435 9.0435 3.1911
angles: 90.00 90.00 90.00
Closest atoms and distances in Å follow each position.
Fractional coordinates of all 10 atoms:
Sr 0.1938 0.3062 0.0000  6 Ru 3.15-3.22, 2 Sr 3.19, 2 Se 3.28
Sr 0.3062 0.8062 0.0000  6 Ru 3.15-3.22, 2 Sr 3.19, 2 Se 3.28
Sr 0.6938 0.1938 0.0000  6 Ru 3.15-3.22, 2 Sr 3.19, 2 Se 3.28
Sr 0.8062 0.6938 0.0000  6 Ru 3.15-3.22, 2 Sr 3.19, 2 Se 3.28
Ru 0.0874 0.5874 0.5000  1 Ru 2.24
Ru 0.4126 0.0874 0.5000  1 Ru 2.24
Ru 0.5874 0.9126 0.5000  1 Ru 2.24
Ru 0.9126 0.4126 0.5000  1 Ru 2.24
Se 0.0000 0.0000 0.0000  2 Se 3.19, 4 Sr 3.28
Se 0.5000 0.5000 0.0000  2 Se 3.19, 4 Sr 3.28

## Properties
For the energy above the most stable polymorph in this dataset, the calculation gives 0.832 eV per atom. As for the space-group type: P4/mbm, No. 127.



Q: What is the formula in the second record?
A: Sr2Ru2Se



Q: What is the formula in the first record?
A: Ti3FeB